This record from Alexandria describes a relaxed Pm2Sm6DyHo3 crystal. The functional is PBE.

Lattice parameters (Å, degrees): 6.2364 6.2364 11.9062 95.00 95.00 119.98
Atoms (fractional coordinates):
Pm (0.6666, 0.3334, 0.0000)
Sm (0.4169, 0.0843, 0.2525)
Sm (0.2484, 0.2484, 0.7472)
Sm (0.7516, 0.7516, 0.2528)
Ho (0.5000, 0.5000, 0.5000)
Pm (0.3334, 0.6666, 0.0000)
Ho (0.1665, 0.8335, 0.5000)
Sm (0.9157, 0.5831, 0.7475)
Sm (0.0843, 0.4169, 0.2525)
Ho (0.8335, 0.1665, 0.5000)
Sm (0.5831, 0.9157, 0.7475)
Dy (0.0000, 0.0000, 0.0000)

Calculated values
ρ = 7.8 g/cm3
Symmetry = C2/m, No. 12
ΔE_f = 0.015 eV per atom
Spin magnetization = 0.0 μB/f.u.